The following is a PBE calculation of a relaxed structure of TaSb2PtW, from Alexandria.

The mass density comes out at 10.6 g/cm³. The uncorrected formation energy is 1.599 eV/atom. For the relative energy among the computed polymorphs, the calculation gives 0.048 eV per atom. The density of states at the Fermi level comes out at 5.73 states/eV/cell. As for the magnetic moment: 0.73 μB/cell.

The space group is P4/mmm (No. 123) and the conventional cell measures 5.102, 5.102 and 4.838 Å, with angles of 90.00, 90.00 and 90.00 degrees. The distinct sites, in fractional coordinates, are Ta at (0.000, 0.000, 0.000), Sb at (0.000, 0.500, 0.500), Pt at (0.500, 0.500, 0.500) and W at (0.500, 0.500, 0.000).